1.
Sr2CdGa2: optimized geometry, GGA-PBE.

E_tot (eV/atom): -2.2371
Magnetization (μB/cell): 0.00

Cell: 6.267 6.267 8.236 Å, 90.00 90.00 90.00°
Space group I4/mmm (No. 139)
Symmetry-distinct sites (fractional):
Sr1 0.000 0.500 0.250 (multiplicity 4)
Cd1 0.000 0.000 0.000 (multiplicity 2)
Ga1 0.000 0.000 0.352 (multiplicity 4)



2.
SrCdGa2: optimized geometry, GGA-PBE.

E_tot (eV/atom): -2.3549
Magnetization (μB/cell): 0.00

Cell: 4.809 4.809 4.314 Å, 90.00 90.00 90.00°
Space group P4/mmm (No. 123)
Symmetry-distinct sites (fractional):
Sr1 0.000 0.000 0.000 (multiplicity 1)
Cd1 0.500 0.500 0.000 (multiplicity 1)
Ga1 0.000 0.500 0.500 (multiplicity 2)



3.
Sr2CdGa: optimized geometry, GGA-PBE.

E_tot (eV/atom): -2.1787
Magnetization (μB/cell): 0.00

Cell: 7.967 7.967 7.967 Å, 90.00 90.00 90.00°
Space group Fm-3m (No. 225)
Symmetry-distinct sites (fractional):
Sr1 0.250 0.250 0.250 (multiplicity 8)
Cd1 0.000 0.000 0.000 (multiplicity 4)
Ga1 0.000 0.000 0.500 (multiplicity 4)



| no. | formation energy (eV per atom) |
| --- | --- |
| 1 | -0.1706 |
| 2 | -0.1922 |
| 3 | -0.3523 |